LaMgNi4H6: relaxed, PBE.

Cell lengths 4.432, 4.432, 6.770 Å; angles 90.00, 90.00, 120.00 degrees
Positions (direct):
La1 0.000 0.000 0.500
Mg1 0.000 0.000 0.000
Ni1 0.667 0.333 0.177
Ni2 0.333 0.667 0.177
Ni3 0.333 0.667 0.823
Ni4 0.667 0.333 0.823
H1 0.500 0.500 0.322
H2 0.500 0.500 0.678
H3 0.500 0.000 0.322
H4 0.000 0.500 0.322
H5 0.500 0.000 0.678
H6 0.000 0.500 0.678

Results
Density of states at the Fermi level (states/eV/f.u.): 4.21
Space-group type: P6/mmm, No. 191


LaMgPH2: relaxed, PBE.

Cell lengths 5.682, 5.682, 6.695 Å; angles 115.11, 115.11, 90.00 degrees
Positions (direct):
La1 0.816 0.316 0.632
La2 0.316 0.816 0.632
Mg1 0.008 0.008 0.016
Mg2 0.508 0.508 0.016
P1 0.744 0.744 0.489
P2 0.244 0.244 0.489
H1 0.216 0.716 0.932
H2 0.716 0.716 0.932
H3 0.716 0.216 0.932
H4 0.216 0.216 0.932

Results
Space-group type: P4mm, No. 99


Uncorrected energy values, unit Ry/atom, following the record order: -0.328 -0.326.